First-principles (PBE with a Hubbard U) data for a geometry-optimized RbNiWO3F3 structure, as listed in Alexandria via LeMat-Bulk.

Results
electronic total energy = -50.73 eV/f.u.
Fermi-level density of states = 0.0 states/eV per cell

Unit cell a=7.336 b=7.336 c=7.382 alpha=118.52 beta=61.48 gamma=88.35
Fractional coordinates of all 18 atoms:
F: 0.080 0.154 0.245
O: 0.066 0.191 0.900
O: 0.696 0.196 0.250
W: 0.000 0.000 0.000
Rb: 0.360 0.860 0.250
F: 0.920 0.847 0.755
F: 0.918 0.418 0.750
O: 0.304 0.804 0.750
Ni: 0.000 0.500 0.000
O: 0.691 0.566 0.600
Ni: 0.000 0.500 0.500
O: 0.934 0.809 0.100
O: 0.309 0.434 0.400
F: 0.082 0.582 0.250
F: 0.347 0.420 0.745
W: 0.500 0.500 0.500
Rb: 0.640 0.140 0.750
F: 0.653 0.580 0.255